[1]
# NpTl2GaI6, optimized geometry, DFT PBE
# magnetization = 12.0 μB per cell
# energy relative to the elements, uncorrected = -0.673 eV/atom
data_NpTl2GaI6
_chemical_formula_sum 'Np3 Tl6 Ga3 I18'
_cell_length_a 8.5148
_cell_length_b 8.5148
_cell_length_c 22.2827
_cell_angle_alpha 90.00
_cell_angle_beta 90.00
_cell_angle_gamma 120.00
_symmetry_space_group_name_H-M 'R 3'
_symmetry_Int_Tables_number 146
_symmetry_space_group_name_Hall 'R 3'
loop_
_atom_site_label
_atom_site_fract_x
_atom_site_fract_y
_atom_site_fract_z
Np1 0.0000 0.0000 0.0000
Tl1 0.0000 0.0000 0.3065
Tl2 0.0000 0.0000 0.7998
Ga1 0.0000 0.0000 0.5046
I1 0.0064 0.3984 0.7452
I2 0.0650 0.7070 0.5802

[2]
# GaI2O8, optimized geometry, DFT PBE
# magnetization = 2.0 μB per cell
# energy relative to the elements, uncorrected = -0.433 eV/atom
data_GaI2O8
_chemical_formula_sum 'Ga2 I4 O16'
_cell_length_a 9.0832
_cell_length_b 7.5580
_cell_length_c 4.7800
_cell_angle_alpha 90.00
_cell_angle_beta 102.39
_cell_angle_gamma 90.00
_symmetry_space_group_name_H-M 'C 1 2/m 1'
_symmetry_Int_Tables_number 12
_symmetry_space_group_name_Hall '-C 2y'
loop_
_atom_site_label
_atom_site_fract_x
_atom_site_fract_y
_atom_site_fract_z
Ga1 0.0000 0.0000 0.0000
I1 0.2450 0.5000 0.4932
O1 0.0011 0.5000 0.8641
O2 0.1231 0.1711 0.2978
O3 0.1836 0.0000 0.8359

[3]
# GaIO2, optimized geometry, DFT PBE
# magnetization = 0.0 μB per cell
# energy above the most stable polymorph in this dataset = 100 meV/atom
# energy relative to the elements, uncorrected = -0.695 eV/atom
data_GaIO2
_chemical_formula_sum 'Ga4 I4 O8'
_cell_length_a 5.5430
_cell_length_b 5.5430
_cell_length_c 8.7677
_cell_angle_alpha 90.00
_cell_angle_beta 90.00
_cell_angle_gamma 90.00
_symmetry_space_group_name_H-M 'I -4 2 d'
_symmetry_Int_Tables_number 122
_symmetry_space_group_name_Hall 'I -4 2bw'
loop_
_atom_site_label
_atom_site_fract_x
_atom_site_fract_y
_atom_site_fract_z
Ga1 0.0000 0.0000 0.0000
I1 0.0000 0.0000 0.5000
O1 0.1069 0.2500 0.1250

[4]
# GaIO2, optimized geometry, DFT PBE
# magnetization = 0.0 μB per cell
# energy above the most stable polymorph in this dataset = 822 meV/atom
# energy relative to the elements, uncorrected = 0.027 eV/atom
data_GaIO2
_chemical_formula_sum 'Ga3 I3 O6'
_cell_length_a 3.3604
_cell_length_b 3.3604
_cell_length_c 22.1424
_cell_angle_alpha 90.00
_cell_angle_beta 90.00
_cell_angle_gamma 120.00
_symmetry_space_group_name_H-M 'R -3 m'
_symmetry_Int_Tables_number 166
_symmetry_space_group_name_Hall '-R 3 2"'
loop_
_atom_site_label
_atom_site_fract_x
_atom_site_fract_y
_atom_site_fract_z
Ga1 0.0000 0.0000 0.0000
I1 0.0000 0.0000 0.5000
O1 0.0000 0.0000 0.0773

[5]
# GaIO2, optimized geometry, DFT PBE
# magnetization = 0.0 μB per cell
# energy above the most stable polymorph in this dataset = 0 meV/atom
# energy relative to the elements, uncorrected = -0.796 eV/atom
data_GaIO2
_chemical_formula_sum 'Ga3 I3 O6'
_cell_length_a 3.1846
_cell_length_b 3.1846
_cell_length_c 20.0510
_cell_angle_alpha 90.00
_cell_angle_beta 90.00
_cell_angle_gamma 120.00
_symmetry_space_group_name_H-M 'R -3 m'
_symmetry_Int_Tables_number 166
_symmetry_space_group_name_Hall '-R 3 2"'
loop_
_atom_site_label
_atom_site_fract_x
_atom_site_fract_y
_atom_site_fract_z
Ga1 0.0000 0.0000 0.0000
I1 0.0000 0.0000 0.5000
O1 0.0000 0.0000 0.3813

[6]
# Ga3IO, optimized geometry, DFT PBE
# magnetization = 0.3 μB per cell
# energy above the most stable polymorph in this dataset = 1125 meV/atom
# energy relative to the elements, uncorrected = 0.905 eV/atom
data_Ga3IO
_chemical_formula_sum 'Ga3 I1 O1'
_cell_length_a 6.0693
_cell_length_b 6.0693
_cell_length_c 6.0693
_cell_angle_alpha 90.00
_cell_angle_beta 90.00
_cell_angle_gamma 90.00
_symmetry_space_group_name_H-M 'P m -3 m'
_symmetry_Int_Tables_number 221
_symmetry_space_group_name_Hall '-P 4 2 3'
loop_
_atom_site_label
_atom_site_fract_x
_atom_site_fract_y
_atom_site_fract_z
Ga1 0.0000 0.0000 0.5000
I1 0.0000 0.0000 0.0000
O1 0.5000 0.5000 0.5000

[7]
# Ga3IO, optimized geometry, DFT PBE
# magnetization = 0.0 μB per cell
# energy above the most stable polymorph in this dataset = 0 meV/atom
# energy relative to the elements, uncorrected = -0.220 eV/atom
data_Ga3IO
_chemical_formula_sum 'Ga3 I1 O1'
_cell_length_a 4.8830
_cell_length_b 4.8830
_cell_length_c 4.8830
_cell_angle_alpha 90.00
_cell_angle_beta 90.00
_cell_angle_gamma 90.00
_symmetry_space_group_name_H-M 'P m -3 m'
_symmetry_Int_Tables_number 221
_symmetry_space_group_name_Hall '-P 4 2 3'
loop_
_atom_site_label
_atom_site_fract_x
_atom_site_fract_y
_atom_site_fract_z
Ga1 0.0000 0.0000 0.5000
I1 0.5000 0.5000 0.5000
O1 0.0000 0.0000 0.0000

[8]
# GaIO, optimized geometry, DFT PBE
# magnetization = 0.0 μB per cell
# energy above the most stable polymorph in this dataset = 0 meV/atom
# energy relative to the elements, uncorrected = -1.053 eV/atom
data_GaIO
_chemical_formula_sum 'Ga2 I2 O2'
_cell_length_a 3.7331
_cell_length_b 6.2753
_cell_length_c 7.5796
_cell_angle_alpha 108.11
_cell_angle_beta 91.76
_cell_angle_gamma 107.29
_symmetry_space_group_name_H-M 'P -1'
_symmetry_Int_Tables_number 2
_symmetry_space_group_name_Hall '-P 1'
loop_
_atom_site_label
_atom_site_fract_x
_atom_site_fract_y
_atom_site_fract_z
Ga1 0.1511 0.3039 0.4869
I1 0.0975 0.1592 0.7812
O1 0.3290 0.6494 0.5698

- Look up the magnetization of the third one.
  0.0 μB per cell

- Look up the magnetization of the fourth one.
  0.0 μB per cell

- Number 7 is which compound?
  Ga3IO